The following is a DFT calculation (PBEsol) of SiNiI3 after structural relaxation.

Total DFT energy (no corrections): -2.67 eV/atom
SG: Pm-3m
Density: 4.8 Mg/m³
Crystal system: cubic

The structure in POSCAR format:
```
SiNiI3
1.0
5.434 0.000 0.000
0.000 5.434 0.000
0.000 0.000 5.434
I Ni Si
3 1 1
Direct
0.000 0.500 0.000 I
0.000 0.000 0.500 I
0.500 0.000 0.000 I
0.500 0.500 0.500 Ni
0.000 0.000 0.000 Si
```

---

The following is a DFT calculation (PBEsol) of ScMnCl2 after structural relaxation.

Energy above the lowest structure with this stoichiometry: 146 meV per atom
SG: P2/m
Density: 3.9 Mg/m³
Crystal system: monoclinic

The structure in POSCAR format:
```
ScMnCl2
1.0
-3.278 -0.005 -0.322
-0.052 -4.056 0.586
-0.208 0.779 5.369
Sc Mn Cl
1 1 2
Direct
0.000 0.500 0.000 Sc
0.500 0.500 0.500 Mn
0.730 0.000 0.749 Cl
0.270 0.000 0.251 Cl
```

---

The following is a DFT calculation (PBEsol) of SrAgSb after structural relaxation.

Total DFT energy (no corrections): -3.94 eV/atom
SG: P-6m2
Density: 6.2 Mg/m³
Crystal system: hexagonal

The structure in POSCAR format:
```
SrAgSb
1.0
4.480 0.000 0.000
0.000 4.664 0.000
0.000 -2.332 4.039
Sb Ag Sr
1 1 1
Direct
0.000 0.333 0.667 Sb
0.000 0.000 0.000 Ag
0.500 0.667 0.333 Sr
```

---

The following is a DFT calculation (PBEsol) of Tl2AgPt2 after structural relaxation.

Formation energy from the elements: 0.336 eV/atom
SG: I4/mmm
Density: 14.3 Mg/m³
Crystal system: tetragonal

The structure in POSCAR format:
```
Tl2AgPt2
1.0
4.158 0.000 0.000
0.000 4.158 0.000
-2.079 -2.079 6.101
Tl Ag Pt
2 1 2
Direct
0.250 0.750 0.500 Tl
0.750 0.250 0.500 Tl
0.000 0.000 0.000 Ag
0.398 0.398 0.796 Pt
0.602 0.602 0.204 Pt
```

---

The following is a DFT calculation (PBEsol) of Na2SnSb after structural relaxation.

Total DFT energy (no corrections): -3.00 eV/atom
SG: I-42d
Density: 4.3 Mg/m³
Crystal system: tetragonal

The structure in POSCAR format:
```
Na2SnSb
1.0
4.523 0.000 0.000
0.000 4.523 0.000
-2.262 -2.262 10.803
Sb Sn Na
2 2 4
Direct
0.250 0.750 0.500 Sb
0.000 0.000 0.000 Sb
0.750 0.250 0.500 Sn
0.500 0.500 0.000 Sn
0.373 0.875 0.250 Na
0.877 0.375 0.250 Na
0.125 0.123 0.750 Na
0.625 0.627 0.750 Na
```

---

The following is a DFT calculation (PBEsol) of CaZn2Os after structural relaxation.

Formation energy from the elements: 0.318 eV/atom
SG: P4/mmm
Density: 9.2 Mg/m³
Crystal system: tetragonal

The structure in POSCAR format:
```
CaZn2Os
1.0
-1.479 2.113 -2.699
1.105 -2.862 -2.845
-3.679 -1.926 0.508
Zn Os Ca
2 1 1
Direct
0.000 0.000 0.500 Zn
0.000 0.500 0.000 Zn
0.500 0.000 0.000 Os
0.500 0.500 0.500 Ca
```

---

The following is a DFT calculation (PBEsol) of TaTiV2 after structural relaxation.

Formation energy from the elements: 0.071 eV/atom
SG: Fm-3m
Density: 9.2 Mg/m³
Crystal system: cubic

The structure in POSCAR format:
```
TaTiV2
1.0
4.392 0.000 0.000
2.196 3.804 0.000
2.196 1.268 3.586
V Ti Ta
2 1 1
Direct
0.250 0.250 0.250 V
0.750 0.750 0.750 V
0.500 0.500 0.500 Ti
0.000 0.000 0.000 Ta
```

---

The following is a DFT calculation (PBEsol) of Rb2AgBiN after structural relaxation.

Total DFT energy (no corrections): -2.72 eV/atom
SG: P4/mmm
Density: 3.6 Mg/m³
Crystal system: tetragonal

The structure in POSCAR format:
```
Rb2AgBiN
1.0
5.131 0.000 0.000
0.000 6.672 0.000
0.000 0.000 6.672
Rb Bi Ag N
2 1 1 1
Direct
0.000 0.000 0.500 Rb
0.000 0.500 0.000 Rb
0.500 0.000 0.000 Bi
0.000 0.000 0.000 Ag
0.500 0.500 0.500 N
```

---

The following is a DFT calculation (PBEsol) of SnBiB2I after structural relaxation.

Total DFT energy (no corrections): -3.21 eV/atom
SG: P4/mmm
Density: 5.5 Mg/m³
Crystal system: tetragonal

The structure in POSCAR format:
```
SnBiB2I
1.0
4.790 0.000 0.000
0.000 4.790 0.000
0.000 0.000 6.293
I B Bi Sn
1 2 1 1
Direct
0.500 0.500 0.500 I
0.000 0.500 0.000 B
0.500 0.000 0.000 B
0.000 0.000 0.000 Bi
0.000 0.000 0.500 Sn
```

---

The following is a DFT calculation (PBEsol) of ZnTcP2 after structural relaxation.

Formation energy from the elements: -0.198 eV/atom
SG: Amm2
Density: 6.1 Mg/m³
Crystal system: orthorhombic

The structure in POSCAR format:
```
ZnTcP2
1.0
2.949 0.000 0.000
0.000 3.238 0.000
-1.474 0.000 6.375
P Tc Zn
2 1 1
Direct
0.968 0.000 0.937 P
0.196 0.500 0.392 P
0.550 0.500 0.100 Tc
0.785 0.000 0.570 Zn
```

---

The following is a DFT calculation (PBEsol) of Fe4RePt after structural relaxation.

Formation energy from the elements: -0.031 eV/atom
SG: F-43m
Density: 14.3 Mg/m³
Crystal system: cubic

The structure in POSCAR format:
```
Fe4RePt
1.0
-0.844 -0.361 4.543
-1.551 -3.998 1.758
2.767 -2.584 2.673
Fe Pt Re
4 1 1
Direct
0.375 0.375 0.375 Fe
0.375 0.375 0.875 Fe
0.875 0.375 0.375 Fe
0.375 0.875 0.375 Fe
0.750 0.750 0.750 Pt
0.000 0.000 0.000 Re
```

---

The following is a DFT calculation (PBEsol) of MgInFeHg2 after structural relaxation.

Formation energy from the elements: 1.049 eV/atom
Energy above the lowest structure with this stoichiometry: 679 meV per atom
SG: P4/mmm
Density: 6.4 Mg/m³
Crystal system: tetragonal

The structure in POSCAR format:
```
MgInFeHg2
1.0
-4.342 -2.856 -1.296
1.939 -4.183 2.722
-2.463 1.738 4.424
Fe Mg Hg In
1 1 2 1
Direct
0.500 0.500 0.500 Fe
0.500 0.000 0.000 Mg
0.000 0.000 0.500 Hg
0.000 0.500 0.000 Hg
0.000 0.000 0.000 In
```

---

The following is a DFT calculation (PBEsol) of PrP2Ru2 after structural relaxation.

Formation energy from the elements: -1.048 eV/atom
SG: I4/mmm
Density: 8.3 Mg/m³
Crystal system: tetragonal

The structure in POSCAR format:
```
PrP2Ru2
1.0
-1.066 -0.438 -3.867
3.371 -2.106 -0.691
-3.536 -2.913 3.410
Pr Ru P
1 2 2
Direct
0.000 0.000 0.000 Pr
0.250 0.750 0.500 Ru
0.750 0.250 0.500 Ru
0.631 0.631 0.262 P
0.369 0.369 0.738 P
```

---

The following is a DFT calculation (PBEsol) of Al3Au4 after structural relaxation.

Formation energy from the elements: -0.398 eV/atom
SG: I4/mmm
Density: 12.7 Mg/m³
Crystal system: tetragonal

The structure in POSCAR format:
```
Al3Au4
1.0
3.452 0.000 0.000
0.000 3.452 0.000
-1.726 -1.726 9.497
Au Al
4 3
Direct
0.844 0.844 0.689 Au
0.156 0.156 0.311 Au
0.571 0.571 0.142 Au
0.429 0.429 0.858 Au
0.000 0.000 0.000 Al
0.708 0.708 0.416 Al
0.292 0.292 0.584 Al
```

---

The following is a DFT calculation (PBEsol) of AlAg2Te after structural relaxation.

Energy above the lowest structure with this stoichiometry: 33 meV per atom
SG: Fm-3m
Density: 7.5 Mg/m³
Crystal system: cubic

The structure in POSCAR format:
```
AlAg2Te
1.0
4.873 0.000 0.000
2.436 4.220 0.000
2.436 1.407 3.979
Te Al Ag
1 1 2
Direct
0.500 0.500 0.500 Te
0.000 0.000 0.000 Al
0.250 0.250 0.250 Ag
0.750 0.750 0.750 Ag
```

---

The following is a DFT calculation (PBEsol) of BeSi3 after structural relaxation.

Energy above the lowest structure with this stoichiometry: 16 meV per atom
SG: P6/mmm
Density: 2.8 Mg/m³
Crystal system: hexagonal

The structure in POSCAR format:
```
BeSi3
1.0
-0.528 -2.662 -4.214
-2.793 -3.360 2.472
-2.186 3.940 -2.215
Be Si
2 6
Direct
0.250 0.500 0.500 Be
0.750 0.500 0.500 Be
0.750 0.000 0.000 Si
0.250 0.000 0.000 Si
0.750 0.000 0.500 Si
0.250 0.000 0.500 Si
0.750 0.500 0.000 Si
0.250 0.500 0.000 Si
```

---

The following is a DFT calculation (PBEsol) of Ac2ZnSn after structural relaxation.

Formation energy from the elements: -0.436 eV/atom
SG: Fm-3m
Density: 8.6 Mg/m³
Crystal system: cubic

The structure in POSCAR format:
```
Ac2ZnSn
1.0
5.579 0.000 0.000
2.790 4.832 0.000
2.790 1.611 4.555
Zn Ac Sn
1 2 1
Direct
0.000 0.000 0.000 Zn
0.750 0.750 0.750 Ac
0.250 0.250 0.250 Ac
0.500 0.500 0.500 Sn
```

---

The following is a DFT calculation (PBEsol) of Ca2MnP2H4O10 after structural relaxation.

Total DFT energy (no corrections): -6.92 eV/atom
SG: P-1
Density: 3.2 Mg/m³
Crystal system: triclinic

The structure in POSCAR format:
```
Ca2MnP2H4O10
1.0
-0.335 -1.293 5.337
2.439 -4.371 -2.816
5.614 3.331 -0.348
Ca Mn P H O
2 1 2 4 10
Direct
0.333 0.602 0.232 Ca
0.667 0.398 0.768 Ca
0.000 0.000 0.000 Mn
0.350 0.752 0.767 P
0.650 0.248 0.233 P
0.807 0.070 0.561 H
0.193 0.930 0.439 H
0.084 0.287 0.660 H
0.916 0.713 0.340 H
0.931 0.158 0.701 O
0.069 0.842 0.299 O
0.396 0.244 0.067 O
0.604 0.756 0.933 O
0.881 0.308 0.118 O
0.119 0.692 0.882 O
0.620 0.003 0.335 O
0.380 0.997 0.665 O
0.700 0.463 0.399 O
0.300 0.537 0.601 O
```

---

The following is a DFT calculation (PBEsol) of MnTlCd2 after structural relaxation.

Formation energy from the elements: 0.306 eV/atom
Energy above the lowest structure with this stoichiometry: 42 meV per atom
SG: P4mm
Density: 10.1 Mg/m³
Crystal system: tetragonal

The structure in POSCAR format:
```
MnTlCd2
1.0
-2.026 -2.298 0.541
1.073 -0.261 2.908
-5.576 5.516 2.552
Cd Mn Tl
2 1 1
Direct
0.000 0.000 0.984 Cd
0.500 0.500 0.727 Cd
0.000 0.000 0.513 Mn
0.500 0.500 0.276 Tl
```

---

The following is a DFT calculation (PBEsol) of MgZrIr2 after structural relaxation.

Formation energy from the elements: -0.699 eV/atom
SG: P4/mmm
Density: 13.0 Mg/m³
Crystal system: tetragonal

The structure in POSCAR format:
```
MgZrIr2
1.0
3.335 0.000 0.000
0.000 4.381 0.000
0.000 0.000 4.381
Mg Ir Zr
1 2 1
Direct
0.500 0.500 0.500 Mg
0.000 0.000 0.500 Ir
0.000 0.500 0.000 Ir
0.500 0.000 0.000 Zr
```